# Pm4DyY7

Crystalline Pm4DyY7 at its relaxed geometry (GGA-PBE, Alexandria).

Properties
Energy above the most stable polymorph in this dataset: 0.000 eV/atom
Space group: P-1, No. 2
DFT formation energy: 0.08 eV/atom

Lattice parameters (Å, degrees): 6.577 6.871 9.144 85.56 77.13 81.92
Sites, in units of the cell vectors:
1 Pm 0.142 0.315 0.283
2 Pm 0.338 0.882 0.694
3 Pm 0.662 0.118 0.306
4 Pm 0.858 0.685 0.717
5 Dy 0.500 0.500 0.000
6 Y 0.010 0.252 0.951
7 Y 0.177 0.808 0.361
8 Y 0.314 0.392 0.619
9 Y 0.500 0.000 0.000
10 Y 0.686 0.608 0.381
11 Y 0.823 0.192 0.639
12 Y 0.990 0.748 0.049

=====

# Ba3Ce3DySe8

Crystalline Ba3Ce3DySe8 at its relaxed geometry (GGA-PBE, Alexandria).

Properties
Formation energy (no corrections): -1888 meV per atom
Space group: R-3m, No. 166

Lattice parameters (Å, degrees): 9.075 9.075 9.075 56.95 56.95 56.95
Sites, in units of the cell vectors:
1 Ba 0.000 0.500 0.500
2 Ba 0.500 0.000 0.500
3 Ba 0.500 0.500 0.000
4 Ce 0.000 0.000 0.500
5 Ce 0.000 0.500 0.000
6 Ce 0.500 0.000 0.000
7 Dy 0.500 0.500 0.500
8 Se 0.241 0.241 0.241
9 Se 0.247 0.734 0.734
10 Se 0.266 0.266 0.753
11 Se 0.266 0.753 0.266
12 Se 0.734 0.247 0.734
13 Se 0.734 0.734 0.247
14 Se 0.753 0.266 0.266
15 Se 0.759 0.759 0.759

=====

# LiYCl4

Crystalline LiYCl4 at its relaxed geometry (GGA-PBE, Alexandria).

Properties
Energy above the most stable polymorph in this dataset: 1.714 eV/atom
Formation energy (no corrections): -383 meV per atom
Space group: F-43m, No. 216

Lattice parameters (Å, degrees): 5.922 5.922 5.922 60.00 60.00 60.00
Sites, in units of the cell vectors:
1 Li 0.000 0.000 0.000
2 Y 0.750 0.750 0.750
3 Cl 0.375 0.375 0.375
4 Cl 0.375 0.375 0.876
5 Cl 0.375 0.876 0.375
6 Cl 0.876 0.375 0.375

=====

Table of total moment (μB/atom), in record order: 0.000 0.252 0.018
Table of electronic total energy (eV for the cell shown), in record order: -67.9 -84.4 -18.1
Table of V (A^3/atom), in record order: 33.2 32.8 24.5